one) {
  "formula": "K2MnAg",
  "functional": "PBE",
  "state": "relaxed",
  "dos_ef_per_ev_cell": 7.28,
  "cell": [[-3.190, -11.437, 2.364], [10.340, -1.627, 6.083], [2.404, -5.751, 6.423]],
  "species": ["Mn", "Mn", "K", "K", "K", "K", "Ag", "Ag"],
  "frac_coords": [[0.250, 0.750, 0.500], [0.500, 0.500, 0.000], [0.779, 0.125, 0.250], [0.375, 0.221, 0.750], [0.971, 0.625, 0.250], [0.875, 0.029, 0.750], [0.750, 0.250, 0.500], [0.000, 0.000, 0.000]]
}


two) {
  "formula": "K2MnAg",
  "functional": "PBE",
  "state": "relaxed",
  "dos_ef_per_ev_cell": 3.67,
  "cell": [[4.711, 0.000, 0.000], [0.000, 5.124, -0.001], [0.000, 2.556, 6.368]],
  "species": ["K", "K", "Ag", "Mn"],
  "frac_coords": [[0.500, 0.273, 0.328], [0.000, 0.978, 0.919], [0.500, 0.573, 0.728], [0.000, 0.675, 0.524]]
}


The structure with the greatest stability is two).


one) {
  "formula": "K2MnAg2",
  "functional": "PBE",
  "state": "relaxed",
  "dos_ef_per_ev_cell": 5.05,
  "cell": [[10.008, 0.000, 0.000], [0.000, 10.008, 0.000], [0.000, 0.000, 3.031]],
  "species": ["Ag", "Ag", "Ag", "Ag", "K", "K", "K", "K", "Mn", "Mn"],
  "frac_coords": [[0.101, 0.601, 0.500], [0.399, 0.101, 0.500], [0.601, 0.899, 0.500], [0.899, 0.399, 0.500], [0.810, 0.690, 0.000], [0.310, 0.810, 0.000], [0.190, 0.310, 0.000], [0.690, 0.190, 0.000], [0.500, 0.500, 0.000], [0.000, 0.000, 0.000]]
}


two) {
  "formula": "K2MnAg2",
  "functional": "PBE",
  "state": "relaxed",
  "dos_ef_per_ev_cell": 5.32,
  "cell": [[-2.421, -2.192, -2.093], [2.970, -2.250, -1.078], [-1.449, -8.704, 7.197]],
  "species": ["Mn", "K", "K", "Ag", "Ag"],
  "frac_coords": [[0.000, 0.000, 0.000], [0.382, 0.382, 0.235], [0.618, 0.618, 0.765], [0.750, 0.250, 0.500], [0.250, 0.750, 0.500]]
}


The structure with the greatest stability is two).


one) {
  "formula": "KAgMo2",
  "functional": "PBE",
  "state": "relaxed",
  "dos_ef_per_ev_cell": 5.71,
  "cell": [[0.000, 3.344, 3.344], [3.344, 0.000, 3.344], [3.344, 3.344, 0.000]],
  "species": ["Ag", "K", "Mo", "Mo"],
  "frac_coords": [[0.500, 0.500, 0.500], [0.000, 0.000, 0.000], [0.250, 0.250, 0.250], [0.750, 0.750, 0.750]]
}


two) {
  "formula": "KAgMo2",
  "functional": "PBE",
  "state": "relaxed",
  "dos_ef_per_ev_cell": 4.59,
  "cell": [[2.694, 0.072, 0.000], [-0.855, 2.556, 0.000], [0.000, 0.000, 11.133]],
  "species": ["K", "Mo", "Mo", "Ag"],
  "frac_coords": [[0.500, 0.500, 0.750], [0.000, 0.000, 0.468], [0.000, 0.000, 0.032], [0.500, 0.500, 0.250]]
}


The structure with the greatest stability is two).